H13Os3C17NO10: relaxed, GGA-PBE.

Calculated values
electronic total energy: -308.99 eV per formula unit
total magnetic moment: 0.000 μB/atom
calculated volume: 11.357 A^3/atom

abc: 8.979 9.163 12.755
angles: 83.85 73.32 88.53
Space group P-1 (No. 2)
Unique sites:
1 H 0.011 0.158 0.092 (multiplicity 2)
2 H 0.033 0.144 0.635 (multiplicity 2)
3 H 0.068 0.099 0.835 (multiplicity 2)
4 H 0.072 0.086 0.406 (multiplicity 2)
5 H 0.094 0.765 0.622 (multiplicity 2)
6 H 0.101 0.902 0.051 (multiplicity 2)
7 H 0.126 0.721 0.209 (multiplicity 2)
8 H 0.156 0.721 0.848 (multiplicity 2)
9 H 0.156 0.825 0.378 (multiplicity 2)
10 H 0.201 0.123 0.103 (multiplicity 2)
11 H 0.238 0.076 0.291 (multiplicity 2)
12 H 0.269 0.860 0.174 (multiplicity 2)
13 H 0.373 0.573 0.598 (multiplicity 2)
14 Os 0.235 0.477 0.722 (multiplicity 2)
15 Os 0.425 0.730 0.661 (multiplicity 2)
16 Os 0.490 0.499 0.816 (multiplicity 2)
17 C 0.057 0.927 0.136 (multiplicity 2)
18 C 0.074 0.480 0.652 (multiplicity 2)
19 C 0.078 0.091 0.139 (multiplicity 2)
20 C 0.081 0.779 0.708 (multiplicity 2)
21 C 0.090 0.884 0.326 (multiplicity 2)
22 C 0.114 0.048 0.324 (multiplicity 2)
23 C 0.117 0.402 0.864 (multiplicity 2)
24 C 0.143 0.839 0.209 (multiplicity 2)
25 C 0.181 0.702 0.762 (multiplicity 2)
26 C 0.309 0.288 0.681 (multiplicity 2)
27 C 0.324 0.437 0.161 (multiplicity 2)
28 C 0.359 0.284 0.416 (multiplicity 2)
29 C 0.359 0.620 0.921 (multiplicity 2)
30 C 0.372 0.859 0.552 (multiplicity 2)
31 C 0.400 0.587 0.318 (multiplicity 2)
32 C 0.447 0.315 0.904 (multiplicity 2)
33 C 0.460 0.876 0.746 (multiplicity 2)
34 N 0.031 0.129 0.252 (multiplicity 2)
35 O 0.030 0.524 0.384 (multiplicity 2)
36 O 0.047 0.359 0.954 (multiplicity 2)
37 O 0.208 0.402 0.146 (multiplicity 2)
38 O 0.226 0.286 0.461 (multiplicity 2)
39 O 0.285 0.696 0.983 (multiplicity 2)
40 O 0.332 0.636 0.398 (multiplicity 2)
41 O 0.338 0.940 0.485 (multiplicity 2)
42 O 0.346 0.169 0.660 (multiplicity 2)
43 O 0.421 0.203 0.959 (multiplicity 2)
44 O 0.478 0.963 0.802 (multiplicity 2)

H9Os3C11SNO9: relaxed, GGA-PBE.

Calculated values
electronic total energy: -234.25 eV per formula unit
total magnetic moment: 0.000 μB/atom
calculated volume: 12.594 A^3/atom

abc: 7.377 9.749 12.690
angles: 96.86 103.11 101.89
Space group P-1 (No. 2)
Unique sites:
1 H 0.034 0.210 0.158 (multiplicity 2)
2 H 0.100 0.366 0.963 (multiplicity 2)
3 H 0.129 0.333 0.286 (multiplicity 2)
4 H 0.180 0.516 0.177 (multiplicity 2)
5 H 0.216 0.186 0.033 (multiplicity 2)
6 H 0.222 0.180 0.264 (multiplicity 2)
7 H 0.334 0.509 0.085 (multiplicity 2)
8 H 0.399 0.154 0.139 (multiplicity 2)
9 H 0.459 0.288 0.058 (multiplicity 2)
10 Os 0.150 0.298 0.648 (multiplicity 2)
11 Os 0.407 0.187 0.776 (multiplicity 2)
12 Os 0.433 0.544 0.698 (multiplicity 2)
13 C 0.003 0.570 0.387 (multiplicity 2)
14 C 0.053 0.836 0.326 (multiplicity 2)
15 C 0.100 0.201 0.502 (multiplicity 2)
16 C 0.163 0.261 0.225 (multiplicity 2)
17 C 0.220 0.447 0.115 (multiplicity 2)
18 C 0.281 0.059 0.851 (multiplicity 2)
19 C 0.313 0.693 0.717 (multiplicity 2)
20 C 0.350 0.236 0.096 (multiplicity 2)
21 C 0.355 0.827 0.135 (multiplicity 2)
22 C 0.407 0.042 0.660 (multiplicity 2)
23 C 0.480 0.602 0.580 (multiplicity 2)
24 S 0.288 0.384 0.848 (multiplicity 2)
25 N 0.308 0.342 0.177 (multiplicity 2)
26 O 0.059 0.377 0.032 (multiplicity 2)
27 O 0.063 0.134 0.415 (multiplicity 2)
28 O 0.108 0.497 0.406 (multiplicity 2)
29 O 0.178 0.915 0.307 (multiplicity 2)
30 O 0.200 0.987 0.900 (multiplicity 2)
31 O 0.214 0.851 0.087 (multiplicity 2)
32 O 0.225 0.778 0.729 (multiplicity 2)
33 O 0.394 0.956 0.585 (multiplicity 2)
34 O 0.455 0.338 0.675 (multiplicity 2)

P2H10PtC12N4O6: relaxed, GGA-PBE.

Calculated values
electronic total energy: -240.32 eV per formula unit
total magnetic moment: 0.000 μB/atom
calculated volume: 11.038 A^3/atom

abc: 17.761 10.670 8.708
angles: 90.00 110.54 90.00
Space group C2/c (No. 15)
Unique sites:
1 P 0.182 0.065 0.166 (multiplicity 8)
2 H 0.048 0.103 0.857 (multiplicity 8)
3 H 0.107 0.108 0.591 (multiplicity 8)
4 H 0.139 0.478 0.582 (multiplicity 8)
5 H 0.206 0.336 0.242 (multiplicity 8)
6 H 0.227 0.056 0.446 (multiplicity 8)
7 Pt 0.000 0.433 0.250 (multiplicity 4)
8 C 0.034 0.303 0.828 (multiplicity 8)
9 C 0.058 0.302 0.397 (multiplicity 8)
10 C 0.070 0.195 0.909 (multiplicity 8)
11 C 0.120 0.428 0.036 (multiplicity 8)
12 C 0.134 0.204 0.058 (multiplicity 8)
13 C 0.159 0.323 0.123 (multiplicity 8)
14 N 0.060 0.418 0.891 (multiplicity 8)
15 N 0.091 0.223 0.489 (multiplicity 8)
16 O 0.113 0.026 0.663 (multiplicity 8)
17 O 0.225 0.112 0.343 (multiplicity 8)
18 O 0.239 0.013 0.088 (multiplicity 8)

Zn3P4H14C6N4O12: relaxed, GGA-PBE.

Calculated values
electronic total energy: -260.50 eV per formula unit
calculated volume: 11.086 A^3/atom

abc: 10.289 14.323 13.218
angles: 90.00 101.79 90.00
Space group C2/c (No. 15)
Unique sites:
1 Zn 0.000 0.208 0.250 (multiplicity 4)
2 Zn 0.059 0.419 0.900 (multiplicity 8)
3 P 0.078 0.380 0.125 (multiplicity 8)
4 P 0.210 0.341 0.721 (multiplicity 8)
5 H 0.037 0.213 0.471 (multiplicity 8)
6 H 0.038 0.006 0.334 (multiplicity 8)
7 H 0.149 0.145 0.951 (multiplicity 8)
8 H 0.167 0.399 0.219 (multiplicity 8)
9 H 0.208 0.010 0.151 (multiplicity 8)
10 H 0.218 0.249 0.758 (multiplicity 8)
11 H 0.240 0.378 0.467 (multiplicity 8)
12 C 0.008 0.045 0.624 (multiplicity 8)
13 C 0.047 0.120 0.935 (multiplicity 8)
14 C 0.165 0.110 0.555 (multiplicity 8)
15 N 0.052 0.158 0.523 (multiplicity 8)
16 N 0.139 0.041 0.617 (multiplicity 8)
17 O 0.030 0.278 0.131 (multiplicity 8)
18 O 0.041 0.446 0.385 (multiplicity 8)
19 O 0.098 0.342 0.625 (multiplicity 8)
20 O 0.155 0.133 0.306 (multiplicity 8)
21 O 0.157 0.391 0.039 (multiplicity 8)
22 O 0.186 0.404 0.809 (multiplicity 8)